1.
CeNd3Au7 | Alexandria | PBE | relaxed; DFT formation energy = -7.4 eV/f.u.; magnetization = 0.81 μB per formula unit; crystal system = orthorhombic; DFT total energy = -50.59 eV/f.u.
1.0
1.929 -11.329 0.000
1.929 11.329 0.000
0.000 0.000 12.792
Ce Nd Au
2 6 14
direct
0.004 0.996 0.750
0.996 0.004 0.250
0.143 0.857 0.059
0.143 0.857 0.441
0.188 0.812 0.750
0.812 0.188 0.250
0.857 0.143 0.559
0.857 0.143 0.941
0.278 0.722 0.069
0.278 0.722 0.431
0.381 0.619 0.750
0.403 0.597 0.134
0.403 0.597 0.366
0.462 0.538 0.579
0.462 0.538 0.921
0.538 0.462 0.079
0.538 0.462 0.421
0.597 0.403 0.634
0.597 0.403 0.866
0.619 0.381 0.250
0.722 0.278 0.569
0.722 0.278 0.931

=====

2.
OsRu2 | Alexandria | PBE | relaxed; DFT formation energy = 1.4 eV/f.u.; magnetization = 0.00 μB per formula unit; crystal system = orthorhombic; DFT total energy = -28.33 eV/f.u.; excess energy over the best structure of this formula in the dataset = 1.48 eV per formula unit
1.0
2.683 0.000 0.000
0.000 4.072 0.000
0.000 0.000 16.998
Os Ru
4 8
direct
0.000 0.250 0.107
0.000 0.750 0.893
0.500 0.250 0.393
0.500 0.750 0.607
0.000 0.250 0.538
0.000 0.250 0.688
0.000 0.750 0.312
0.000 0.750 0.462
0.500 0.250 0.812
0.500 0.250 0.962
0.500 0.750 0.038
0.500 0.750 0.188

=====

3.
Tb2DyMg5 | Alexandria | PBE | relaxed; DFT formation energy = -0.6 eV/f.u.; magnetization = 0.00 μB per formula unit; crystal system = tetragonal; DFT total energy = -22.40 eV/f.u.
1.0
5.256 0.000 0.000
0.000 5.256 0.000
0.000 0.000 15.168
Tb Dy Mg
4 2 10
direct
0.000 0.000 0.243
0.000 0.000 0.757
0.500 0.500 0.257
0.500 0.500 0.743
0.000 0.000 0.500
0.500 0.500 0.000
0.000 0.000 0.000
0.000 0.500 0.119
0.000 0.500 0.381
0.000 0.500 0.619
0.000 0.500 0.881
0.500 0.000 0.119
0.500 0.000 0.381
0.500 0.000 0.619
0.500 0.000 0.881
0.500 0.500 0.500

=====

4.
RePt2Se | Alexandria | PBE | relaxed; energy relative to the elements, uncorrected = 0.3655 eV/atom; magnetization = 0.00 μB per formula unit; crystal system = orthorhombic; DFT total energy = -26.55 eV/f.u.
1.0
5.419 0.000 0.000
0.000 8.448 0.000
0.000 0.000 2.777
Re Pt Se
2 4 2
direct
0.000 0.000 0.000
0.500 0.500 0.000
0.250 0.250 0.500
0.250 0.750 0.500
0.750 0.250 0.500
0.750 0.750 0.500
0.000 0.500 0.000
0.500 0.000 0.000

=====

5.
BaLa4Te | Alexandria | PBE | relaxed; energy relative to the elements, uncorrected = 0.0562 eV/atom; magnetization = 1.32 μB per formula unit; crystal system = cubic; DFT total energy = -24.44 eV/f.u.
1.0
0.000 4.828 4.828
4.828 0.000 4.828
4.828 4.828 0.000
Ba La Te
1 4 1
direct
0.000 0.000 0.000
0.118 0.627 0.627
0.627 0.118 0.627
0.627 0.627 0.118
0.627 0.627 0.627
0.250 0.250 0.250

=====

6.
Ga2CoGeN | Alexandria | PBE | relaxed; energy relative to the elements, uncorrected = 1.5908 eV/atom; magnetization = 1.45 μB per formula unit; crystal system = tetragonal; DFT total energy = -18.15 eV/f.u.
1.0
4.867 0.000 0.000
0.000 4.867 0.000
0.000 0.000 4.428
Ga Co Ge N
2 1 1 1
direct
0.000 0.500 0.000
0.500 0.000 0.000
0.000 0.000 0.500
0.000 0.000 0.000
0.500 0.500 0.500

=====

7.
Er2InCuSe4 | Alexandria | PBE | relaxed; energy relative to the elements, uncorrected = -1.2594 eV/atom; magnetization = 0.00 μB per formula unit; crystal system = orthorhombic; DFT total energy = -39.97 eV/f.u.
1.0
2.032 -6.984 0.000
2.032 6.984 0.000
0.000 0.000 14.292
Er In Cu Se
4 2 2 8
direct
0.134 0.866 0.565
0.134 0.866 0.935
0.866 0.134 0.065
0.866 0.134 0.435
0.387 0.613 0.750
0.613 0.387 0.250
0.338 0.662 0.250
0.662 0.338 0.750
0.062 0.938 0.750
0.234 0.766 0.111
0.234 0.766 0.389
0.500 0.500 0.000
0.500 0.500 0.500
0.766 0.234 0.611
0.766 0.234 0.889
0.938 0.062 0.250

=====

8.
LaHo3Er6Tm2 | Alexandria | PBE | relaxed; DFT formation energy = 0.3 eV/f.u.; magnetization = 0.00 μB per formula unit; crystal system = monoclinic; DFT total energy = -54.68 eV/f.u.
1.0
3.055 -5.288 0.000
3.055 5.288 0.000
-2.027 0.000 11.526
La Ho Er Tm
1 3 6 2
direct
0.000 0.000 0.000
0.167 0.833 0.500
0.500 0.500 0.500
0.833 0.167 0.500
0.085 0.419 0.252
0.251 0.251 0.748
0.419 0.085 0.252
0.581 0.915 0.748
0.749 0.749 0.252
0.915 0.581 0.748
0.333 0.667 0.000
0.667 0.333 0.000

=====

9.
KInGaPb | Alexandria | PBE | relaxed; DFT formation energy = 0.1 eV/f.u.; magnetization = 0.00 μB per formula unit; crystal system = cubic; DFT total energy = -10.47 eV/f.u.
1.0
7.756 0.000 0.000
0.000 7.756 0.000
0.000 0.000 7.756
K In Ga Pb
4 4 4 4
direct
0.000 0.000 0.000
0.000 0.500 0.500
0.500 0.000 0.500
0.500 0.500 0.000
0.000 0.000 0.500
0.000 0.500 0.000
0.500 0.000 0.000
0.500 0.500 0.500
0.250 0.250 0.250
0.250 0.750 0.750
0.750 0.250 0.750
0.750 0.750 0.250
0.250 0.250 0.750
0.250 0.750 0.250
0.750 0.250 0.250
0.750 0.750 0.750

=====

10.
Y2HfCu | Alexandria | PBE | relaxed; DFT formation energy = 1.3 eV/f.u.; magnetization = 0.00 μB per formula unit; crystal system = tetragonal; DFT total energy = -25.67 eV/f.u.; excess energy over the best structure of this formula in the dataset = 1.42 eV per formula unit
1.0
8.120 0.000 0.000
0.000 8.120 0.000
0.000 0.000 6.070
Y Hf Cu
8 4 4
direct
0.196 0.250 0.125
0.250 0.696 0.375
0.250 0.804 0.875
0.304 0.250 0.625
0.696 0.750 0.625
0.750 0.196 0.875
0.750 0.304 0.375
0.804 0.750 0.125
0.000 0.000 0.500
0.000 0.500 0.750
0.500 0.000 0.250
0.500 0.500 0.000
0.000 0.000 0.000
0.000 0.500 0.250
0.500 0.000 0.750
0.500 0.500 0.500

=====

11.
Rb4Pu3BiTe8 | Alexandria | PBE | relaxed; energy relative to the elements, uncorrected = -0.9735 eV/atom; magnetization = 15.00 μB per formula unit; crystal system = trigonal; DFT total energy = -91.46 eV/f.u.
1.0
4.630 2.673 8.495
-4.630 2.673 8.495
0.000 -5.346 8.495
Rb Pu Bi Te
4 3 1 8
direct
0.000 0.000 0.000
0.000 0.500 0.500
0.500 0.000 0.500
0.500 0.500 0.000
0.000 0.000 0.500
0.000 0.500 0.000
0.500 0.000 0.000
0.500 0.500 0.500
0.231 0.735 0.735
0.233 0.233 0.233
0.265 0.265 0.769
0.265 0.769 0.265
0.735 0.231 0.735
0.735 0.735 0.231
0.767 0.767 0.767
0.769 0.265 0.265

=====

12.
Ac6Si2Br3N | Alexandria | PBE | relaxed; energy relative to the elements, uncorrected = -1.0904 eV/atom; magnetization = 0.00 μB per formula unit; crystal system = monoclinic; DFT total energy = -61.93 eV/f.u.
1.0
3.742 -6.472 0.000
3.742 6.472 0.000
-2.492 0.000 7.883
Ac Si Br N
6 2 3 1
direct
0.066 0.373 0.199
0.238 0.238 0.798
0.373 0.066 0.199
0.627 0.934 0.801
0.762 0.762 0.202
0.934 0.627 0.801
0.334 0.666 0.000
0.666 0.334 0.000
0.177 0.823 0.500
0.500 0.500 0.500
0.823 0.177 0.500
0.000 0.000 0.000

=====

13.
Hf2ZrHIr | Alexandria | PBE | relaxed; magnetization = 0.00 μB per formula unit; crystal system = tetragonal; DFT total energy = -42.46 eV/f.u.
1.0
4.594 0.000 0.000
0.000 4.594 0.000
0.000 0.000 3.812
Hf Zr H Ir
2 1 1 1
direct
0.000 0.500 0.000
0.500 0.000 0.000
0.000 0.000 0.500
0.000 0.000 0.000
0.500 0.500 0.500

=====

14.
RbMn2Br | Alexandria | PBE | relaxed; energy relative to the elements, uncorrected = 0.5430 eV/atom; magnetization = 9.22 μB per formula unit; crystal system = tetragonal; DFT total energy = -18.81 eV/f.u.; excess energy over the best structure of this formula in the dataset = 0.00 eV per formula unit
1.0
5.102 0.000 0.000
0.000 5.102 0.000
0.000 0.000 23.150
Rb Mn Br
4 8 4
direct
0.000 0.250 0.375
0.000 0.750 0.625
0.500 0.250 0.125
0.500 0.750 0.875
0.000 0.000 0.000
0.000 0.500 0.000
0.250 0.250 0.750
0.250 0.750 0.250
0.500 0.000 0.500
0.500 0.500 0.500
0.750 0.250 0.750
0.750 0.750 0.250
0.000 0.250 0.875
0.000 0.750 0.125
0.500 0.250 0.625
0.500 0.750 0.375

=====

15.
Y2TaRu | Alexandria | PBE | relaxed; DFT formation energy = 2.3 eV/f.u.; magnetization = 0.00 μB per formula unit; crystal system = tetragonal; DFT total energy = -31.79 eV/f.u.; excess energy over the best structure of this formula in the dataset = 2.70 eV per formula unit
1.0
8.126 0.000 0.000
0.000 8.126 0.000
0.000 0.000 5.712
Y Ta Ru
8 4 4
direct
0.196 0.750 0.125
0.250 0.196 0.875
0.250 0.304 0.375
0.304 0.750 0.625
0.696 0.250 0.625
0.750 0.696 0.375
0.750 0.804 0.875
0.804 0.250 0.125
0.000 0.000 0.500
0.000 0.500 0.750
0.500 0.000 0.250
0.500 0.500 0.000
0.000 0.000 0.000
0.000 0.500 0.250
0.500 0.000 0.750
0.500 0.500 0.500

=====

16.
Pr3RhAuCl | Alexandria | PBE | relaxed; energy relative to the elements, uncorrected = -0.8517 eV/atom; magnetization = 0.00 μB per formula unit; crystal system = monoclinic; DFT total energy = -31.92 eV/f.u.
1.0
8.317 0.000 0.000
0.000 4.284 0.000
-1.861 0.000 9.375
Pr Rh Au Cl
6 2 2 2
direct
0.068 0.250 0.340
0.209 0.250 0.967
0.384 0.750 0.614
0.616 0.250 0.386
0.791 0.750 0.033
0.932 0.750 0.660
0.163 0.250 0.643
0.837 0.750 0.357
0.295 0.750 0.252
0.705 0.250 0.748
0.412 0.750 0.906
0.588 0.250 0.094

=====

17.
CsIn2AgPt | Alexandria | PBE | relaxed; DFT formation energy = -0.9 eV/f.u.; magnetization = 0.00 μB per formula unit; crystal system = tetragonal; DFT total energy = -16.08 eV/f.u.
1.0
5.210 0.000 0.000
0.000 5.210 0.000
0.000 0.000 5.632
Cs In Ag Pt
1 2 1 1
direct
0.000 0.000 0.000
0.000 0.500 0.500
0.500 0.000 0.500
0.500 0.500 0.000
0.500 0.500 0.500

=====

18.
TbNdAgSn | Alexandria | PBE | relaxed; DFT formation energy = -2.1 eV/f.u.; magnetization = 0.12 μB per formula unit; crystal system = cubic; DFT total energy = -18.31 eV/f.u.
1.0
7.537 0.000 0.000
0.000 7.537 0.000
0.000 0.000 7.537
Tb Nd Ag Sn
4 4 4 4
direct
0.000 0.000 0.000
0.000 0.500 0.500
0.500 0.000 0.500
0.500 0.500 0.000
0.000 0.000 0.500
0.000 0.500 0.000
0.500 0.000 0.000
0.500 0.500 0.500
0.250 0.250 0.250
0.250 0.750 0.750
0.750 0.250 0.750
0.750 0.750 0.250
0.250 0.250 0.750
0.250 0.750 0.250
0.750 0.250 0.250
0.750 0.750 0.750

=====

19.
AgAs2Se | Alexandria | PBE | relaxed; energy relative to the elements, uncorrected = 0.3781 eV/atom; magnetization = 0.00 μB per formula unit; crystal system = tetragonal; DFT total energy = -14.12 eV/f.u.
1.0
4.820 0.000 0.000
0.000 4.820 0.000
0.000 0.000 6.796
Ag As Se
2 4 2
direct
0.000 0.000 0.000
0.500 0.500 0.500
0.000 0.000 0.500
0.000 0.500 0.750
0.500 0.000 0.250
0.500 0.500 0.000
0.000 0.500 0.250
0.500 0.000 0.750

=====

20.
LaAgOs | Alexandria | PBE | relaxed; DFT formation energy = 1.4 eV/f.u.; magnetization = 0.00 μB per formula unit; crystal system = cubic; DFT total energy = -17.64 eV/f.u.; excess energy over the best structure of this formula in the dataset = 0.32 eV per formula unit
1.0
6.621 0.000 0.000
0.000 6.621 0.000
0.000 0.000 6.621
La Ag Os
4 4 4
direct
0.000 0.000 0.000
0.000 0.500 0.500
0.500 0.000 0.500
0.500 0.500 0.000
0.000 0.000 0.500
0.000 0.500 0.000
0.500 0.000 0.000
0.500 0.500 0.500
0.250 0.250 0.750
0.250 0.750 0.250
0.750 0.250 0.250
0.750 0.750 0.750

=====

21.
Sr2Mg6InPt | Alexandria | PBE | relaxed; DFT formation energy = -2.4 eV/f.u.; magnetization = 0.00 μB per formula unit; crystal system = triclinic; DFT total energy = -24.16 eV/f.u.
1.0
7.217 0.000 0.000
3.602 6.256 0.000
3.588 2.072 6.419
Sr Mg In Pt
2 6 1 1
direct
0.204 0.204 0.389
0.796 0.796 0.611
0.237 0.675 0.845
0.241 0.239 0.845
0.325 0.761 0.155
0.675 0.239 0.845
0.759 0.761 0.155
0.763 0.325 0.155
0.500 0.500 0.500
0.000 0.000 0.000

=====

22.
GaSn5Au4 | Alexandria | PBE | relaxed; DFT formation energy = -0.7 eV/f.u.; magnetization = 0.00 μB per formula unit; crystal system = monoclinic; DFT total energy = -36.80 eV/f.u.; excess energy over the best structure of this formula in the dataset = 0.56 eV per formula unit
1.0
8.176 -2.109 0.000
8.176 2.109 0.000
-0.413 0.000 7.013
Ga Sn Au
1 5 4
direct
0.000 0.000 0.000
0.000 0.000 0.500
0.307 0.307 0.641
0.342 0.342 0.200
0.658 0.658 0.800
0.693 0.693 0.359
0.164 0.164 0.079
0.477 0.477 0.770
0.523 0.523 0.230
0.836 0.836 0.921

=====

23.
Pm2Pr12Tm | Alexandria | PBE | relaxed; DFT formation energy = 4.7 eV/f.u.; magnetization = 0.00 μB per formula unit; crystal system = tetragonal; DFT total energy = -66.66 eV/f.u.
1.0
6.656 0.000 0.000
0.000 6.656 0.000
0.000 0.000 25.696
Pm Pr Tm
4 24 2
direct
0.250 0.750 0.233
0.250 0.750 0.767
0.750 0.250 0.233
0.750 0.250 0.767
0.065 0.565 0.388
0.065 0.935 0.612
0.082 0.582 0.937
0.082 0.918 0.063
0.250 0.250 0.163
0.250 0.250 0.287
0.250 0.250 0.713
0.250 0.250 0.837
0.418 0.582 0.063
0.418 0.918 0.937
0.435 0.565 0.612
0.435 0.935 0.388
0.565 0.065 0.612
0.565 0.435 0.388
0.582 0.082 0.063
0.582 0.418 0.937
0.750 0.750 0.163
0.750 0.750 0.287
0.750 0.750 0.713
0.750 0.750 0.837
0.918 0.082 0.937
0.918 0.418 0.063
0.935 0.065 0.388
0.935 0.435 0.612
0.250 0.750 0.500
0.750 0.250 0.500